Entry 1:
ZnAs2Pb: relaxed, GGA-PBE.

total energy	-25.89	eV/cell

a b c (Å): 6.0724 9.5436 3.1437
angles (deg): 90.00 101.80 90.00
With the nearest neighbours (Å) after each atom.
Space group C2/m (No. 12)
One atom of each set of equivalent atoms:
Zn 0.0000 0.0000 0.0000 [2 per cell]  2 Pb 3.04, 8 As 3.08-3.38, 2 Zn 3.14
As 0.2500 0.2500 0.5000 [4 per cell]  4 As 3.04-3.14, 4 Pb 3.08-3.38, 4 Zn 3.08-3.38
Pb 0.0000 0.5000 0.0000 [2 per cell]  2 Zn 3.04, 8 As 3.08-3.38, 2 Pb 3.14



Entry 2:
YRhAu3: relaxed, GGA-PBE.

ΔE to the lowest computed polymorph	389.6	kJ/mol of formula units

a b c (Å): 5.3396 5.3396 5.3396
angles (deg): 90.00 90.00 90.00
With the nearest neighbours (Å) after each atom.
Space group Pm-3m (No. 221)
One atom of each set of equivalent atoms:
Y 0.0000 0.0000 0.0000 [1 per cell]  6 Au 2.67
Rh 0.5000 0.5000 0.5000 [1 per cell]  12 Au 3.78
Au 0.0000 0.0000 0.5000 [3 per cell]  2 Y 2.67



Entry 3:
ZrMo2H: relaxed, GGA-PBE.

ΔE to the lowest computed polymorph	0.0	kJ/mol of formula units

a b c (Å): 5.5927 5.5927 7.8583
angles (deg): 90.00 90.00 90.00
With the nearest neighbours (Å) after each atom.
Space group I4_1/amd (No. 141, origin choice 2)
One atom of each set of equivalent atoms:
Zr 0.0000 0.2500 0.3750 [4 per cell]  12 Mo 3.26-3.28, 4 Zr 3.42, 4 H 3.42
Mo 0.0000 0.0000 0.0000 [8 per cell]  2 H 1.71
H 0.0000 0.2500 0.8750 [4 per cell]  4 Mo 1.71